1.
A plane-wave DFT calculation with GGA-PBE was carried out for a relaxed structure of TcNiTe2I.

Summary:
The uncorrected formation energy is 4.78 eV per formula unit. The calculation puts the offset from the most stable computed form at 1.50 kJ/mol of atoms. The space group is No. 123.

a = 5.0835 Å, b = 5.0835 Å, c = 5.8118 Å
α = 90.00°, β = 90.00°, γ = 90.00°
With the nearest neighbours (Å) after each atom.
Fractional positions:
1 I 0.0000 0.0000 0.5000  2 Tc 2.91
2 Ni 0.5000 0.5000 0.5000  4 I 3.59, 8 Te 3.86
3 Te 0.0000 0.5000 0.0000  2 Tc 2.54
4 Te 0.5000 0.0000 0.0000  2 Tc 2.54
5 Tc 0.0000 0.0000 0.0000  4 Te 2.54


2.
A plane-wave DFT calculation with GGA-PBE was carried out for a relaxed structure of YTaSe2Br.

Summary:
The uncorrected formation energy is 1.19 eV per formula unit. The calculation puts the offset from the most stable computed form at 56.19 kJ/mol of atoms. The space group is No. 123.

a = 5.4670 Å, b = 5.4670 Å, c = 5.2598 Å
α = 90.00°, β = 90.00°, γ = 90.00°
With the nearest neighbours (Å) after each atom.
Fractional positions:
1 Y 0.0000 0.0000 0.0000  2 Br 2.63, 4 Se 2.73
2 Se 0.0000 0.5000 0.0000  2 Y 2.73
3 Se 0.5000 0.0000 0.0000  2 Y 2.73
4 Br 0.0000 0.0000 0.5000  2 Y 2.63
5 Ta 0.5000 0.5000 0.5000  8 Se 3.79, 4 Br 3.87


3.
A plane-wave DFT calculation with GGA-PBE was carried out for a relaxed structure of Rb2YBiOs.

Summary:
As for the formation energy: 1.282 eV per atom. The space group is No. 123.

a = 6.6718 Å, b = 5.0818 Å, c = 6.6718 Å
α = 90.00°, β = 90.00°, γ = 90.00°
With the nearest neighbours (Å) after each atom.
Fractional positions:
1 Y 0.5000 0.5000 0.5000  8 Rb 4.19
2 Os 0.0000 0.5000 0.0000  2 Bi 2.54
3 Bi 0.0000 0.0000 0.0000  2 Os 2.54
4 Rb 0.0000 0.0000 0.5000  2 Bi 3.34
5 Rb 0.5000 0.0000 0.0000  2 Bi 3.34


4.
A plane-wave DFT calculation with GGA-PBE was carried out for a relaxed structure of Fe2CuSnH.

Summary:
The calculation puts the total DFT energy (no corrections) at -27.75 eV for the cell shown. The space group is No. 123.

a = 3.7695 Å, b = 3.7695 Å, c = 4.0282 Å
α = 90.00°, β = 90.00°, γ = 90.00°
With the nearest neighbours (Å) after each atom.
Fractional positions:
1 H 0.0000 0.0000 0.0000  4 Fe 1.88, 2 Cu 2.01
2 Sn 0.5000 0.5000 0.5000  4 Cu 2.67, 8 Fe 2.76
3 Cu 0.0000 0.0000 0.5000  2 H 2.01
4 Fe 0.0000 0.5000 0.0000  2 H 1.88
5 Fe 0.5000 0.0000 0.0000  2 H 1.88


5.
A plane-wave DFT calculation with GGA-PBE was carried out for a relaxed structure of BaAsSeI2.

Summary:
The uncorrected formation energy is -0.63 eV per formula unit. The space group is No. 123.

a = 5.7914 Å, b = 6.3752 Å, c = 5.7914 Å
α = 90.00°, β = 90.00°, γ = 90.00°
With the nearest neighbours (Å) after each atom.
Fractional positions:
1 I 0.0000 0.0000 0.5000  2 Se 2.90
2 I 0.5000 0.0000 0.0000  2 Se 2.90
3 As 0.5000 0.5000 0.5000  4 Ba 4.10, 8 I 4.31
4 Ba 0.0000 0.5000 0.0000  2 Se 3.19
5 Se 0.0000 0.0000 0.0000  4 I 2.90, 2 Ba 3.19


6.
A plane-wave DFT calculation with GGA-PBE was carried out for a relaxed structure of Zr2TlIn.

Summary:
As for the formation energy: -0.076 eV per atom. The calculation puts the offset from the most stable computed form at 11.33 kJ/mol of atoms. The space group is No. 160.

a = 3.2451 Å, b = 3.2451 Å, c = 10.4624 Å
α = 81.08°, β = 81.08°, γ = 60.00°
With the nearest neighbours (Å) after each atom.
Fractional positions:
1 Zr 0.0829 0.0829 0.7514  3 In 3.17, 3 Tl 3.19, 6 Zr 3.25
2 Zr 0.2505 0.2505 0.2484  3 In 3.17, 3 Tl 3.20, 6 Zr 3.25
3 Tl 0.4999 0.4999 0.5004  6 Zr 3.19-3.20, 6 Tl 3.25
4 In 0.6667 0.6667 0.9998  6 Zr 3.17, 6 In 3.25


7.
A plane-wave DFT calculation with GGA-PBE was carried out for a relaxed structure of KAg2Ir.

Summary:
As for the formation energy: 0.552 eV per atom. The calculation puts the offset from the most stable computed form at 7.69 kJ/mol of atoms. The space group is No. 71.

a = 6.5454 Å, b = 6.5454 Å, c = 6.5454 Å
α = 155.86°, β = 129.07°, γ = 57.13°
With the nearest neighbours (Å) after each atom.
Fractional positions:
1 Ag 0.9592 0.9592 0.0000  2 Ag 2.74, 2 Ir 2.77
2 Ag 0.5409 0.5409 0.0000  2 Ag 2.74, 2 Ir 2.77
3 Ir 0.7500 0.2500 0.5000  2 Ir 2.74, 4 Ag 2.77
4 K 0.2500 0.7500 0.5000  2 K 2.74


8.
A plane-wave DFT calculation with GGA-PBE was carried out for a relaxed structure of Pr5Ga3.

Summary:
As for the formation energy: -0.449 eV per atom. The calculation puts the offset from the most stable computed form at 0.00 kJ/mol of atoms. The space group is No. 130.

a = 7.9379 Å, b = 7.9379 Å, c = 14.7239 Å
α = 90.00°, β = 90.00°, γ = 90.00°
With the nearest neighbours (Å) after each atom.
Fractional positions:
1 Pr 0.8138 0.8418 0.6034  5 Ga 3.13-3.41
2 Pr 0.1862 0.8418 0.1034  5 Ga 3.13-3.41
3 Pr 0.1582 0.8138 0.3966  5 Ga 3.13-3.41
4 Pr 0.0000 0.5000 0.7178  5 Ga 3.13-3.20
5 Pr 0.8418 0.1862 0.3966  5 Ga 3.13-3.41
6 Pr 0.6862 0.6582 0.3966  5 Ga 3.13-3.41
7 Pr 0.6582 0.3138 0.6034  5 Ga 3.13-3.41
8 Pr 0.3418 0.6862 0.6034  5 Ga 3.13-3.41
9 Pr 0.0000 0.5000 0.2178  5 Ga 3.13-3.20
10 Pr 0.6582 0.6862 0.1034  5 Ga 3.13-3.41
11 Pr 0.6862 0.3418 0.8966  5 Ga 3.13-3.41
12 Pr 0.8418 0.8138 0.8966  5 Ga 3.13-3.41
13 Pr 0.3138 0.3418 0.3966  5 Ga 3.13-3.41
14 Pr 0.1862 0.1582 0.6034  5 Ga 3.13-3.41
15 Pr 0.8138 0.1582 0.1034  5 Ga 3.13-3.41
16 Pr 0.3138 0.6582 0.8966  5 Ga 3.13-3.41
17 Pr 0.3418 0.3138 0.1034  5 Ga 3.13-3.41
18 Pr 0.5000 0.0000 0.2822  5 Ga 3.13-3.20
19 Pr 0.1582 0.1862 0.8966  5 Ga 3.13-3.41
20 Pr 0.5000 0.0000 0.7822  5 Ga 3.13-3.20
21 Ga 0.6188 0.3812 0.2500  1 Ga 2.67
22 Ga 0.1188 0.8812 0.7500  1 Ga 2.67
23 Ga 0.3812 0.3812 0.7500  1 Ga 2.67
24 Ga 0.3812 0.6188 0.2500  1 Ga 2.67
25 Ga 0.8812 0.8812 0.2500  1 Ga 2.67
26 Ga 0.6188 0.6188 0.7500  1 Ga 2.67
27 Ga 0.0000 0.5000 0.5055  9 Pr 3.13-3.41
28 Ga 0.8812 0.1188 0.7500  1 Ga 2.67
29 Ga 0.5000 0.0000 0.4945  9 Pr 3.13-3.41
30 Ga 0.5000 0.0000 0.9945  9 Pr 3.13-3.41
31 Ga 0.1188 0.1188 0.2500  1 Ga 2.67
32 Ga 0.0000 0.5000 0.0055  9 Pr 3.13-3.41


9.
A plane-wave DFT calculation with GGA-PBE was carried out for a relaxed structure of LuGa2Rh.

Summary:
As for the formation energy: -0.623 eV per atom. The space group is No. 225.

a = 4.5742 Å, b = 4.5742 Å, c = 4.5742 Å
α = 60.00°, β = 60.00°, γ = 60.00°
With the nearest neighbours (Å) after each atom.
Fractional positions:
1 Lu 0.0000 0.0000 0.0000  8 Ga 2.80
2 Rh 0.5000 0.5000 0.5000  8 Ga 2.80
3 Ga 0.2500 0.2500 0.2500  4 Lu 2.80, 4 Rh 2.80
4 Ga 0.7500 0.7500 0.7500  4 Rh 2.80, 4 Lu 2.80


10.
A plane-wave DFT calculation with GGA-PBE was carried out for a relaxed structure of UTiI.

Summary:
The uncorrected formation energy is 0.12 eV per formula unit. The space group is No. 63.

a = 3.7834 Å, b = 4.8026 Å, c = 11.0539 Å
α = 77.45°, β = 90.00°, γ = 90.00°
With the nearest neighbours (Å) after each atom.
Fractional positions:
1 Ti 0.2500 0.0459 0.9083  2 Ti 2.74, 6 U 3.01-3.06
2 Ti 0.7500 0.9541 0.0917  2 Ti 2.74, 6 U 3.01-3.06
3 U 0.2500 0.4616 0.0768  2 U 2.51
4 U 0.7500 0.5384 0.9232  2 U 2.51
5 I 0.7500 0.6727 0.6547  1 U 2.90
6 I 0.2500 0.3273 0.3453  1 U 2.90


11.
A plane-wave DFT calculation with GGA-PBE was carried out for a relaxed structure of Hf2MnSb2.

Summary:
The uncorrected formation energy is -0.14 eV per formula unit. The calculation puts the offset from the most stable computed form at 12.30 kJ/mol of atoms. The space group is No. 127.

a = 7.6955 Å, b = 7.6955 Å, c = 3.8339 Å
α = 90.00°, β = 90.00°, γ = 90.00°
With the nearest neighbours (Å) after each atom.
Fractional positions:
1 Sb 0.1587 0.6587 0.5000  6 Hf 2.89-3.01
2 Sb 0.6587 0.8413 0.5000  6 Hf 2.89-3.01
3 Sb 0.8413 0.3413 0.5000  6 Hf 2.89-3.01
4 Sb 0.3413 0.1587 0.5000  6 Hf 2.89-3.01
5 Mn 0.0000 0.0000 0.0000  4 Hf 2.96
6 Mn 0.5000 0.5000 0.0000  4 Hf 2.96
7 Hf 0.3577 0.8577 0.0000  6 Sb 2.89-3.01, 2 Mn 2.96, 1 Hf 3.10
8 Hf 0.8577 0.6423 0.0000  6 Sb 2.89-3.01, 2 Mn 2.96, 1 Hf 3.10
9 Hf 0.6423 0.1423 0.0000  6 Sb 2.89-3.01, 2 Mn 2.96, 1 Hf 3.10
10 Hf 0.1423 0.3577 0.0000  6 Sb 2.89-3.01, 2 Mn 2.96, 1 Hf 3.10


12.
A plane-wave DFT calculation with GGA-PBE was carried out for a relaxed structure of CdGa4Ag8.

Summary:
As for the formation energy: 0.002 eV per atom. The space group is No. 12.

a = 4.0214 Å, b = 5.1467 Å, c = 13.5059 Å
α = 64.66°, β = 81.44°, γ = 67.00°
With the nearest neighbours (Å) after each atom.
Fractional positions:
1 Cd 0.5156 0.0018 0.9669  8 Ag 2.95-2.99, 4 Ga 3.03
2 Ga 0.3645 0.8446 0.4265  9 Ag 2.85-2.98, 3 Ga 2.95-2.98
3 Ga 0.8913 0.4143 0.8030  10 Ag 2.86-3.15, 2 Cd 3.03
4 Ga 0.1401 0.5892 0.1305  10 Ag 2.85-3.15, 2 Cd 3.03
5 Ga 0.6670 0.1588 0.5072  9 Ag 2.85-2.98, 3 Ga 2.95-2.98
6 Ag 0.0585 0.5272 0.3558  6 Ag 2.88-2.99, 6 Ga 2.88-2.98
7 Ag 0.4464 0.9085 0.1988  4 Ga 2.88-2.97, 7 Ag 2.94-3.02, 1 Cd 2.95
8 Ag 0.5851 0.0947 0.7350  4 Ga 2.88-2.97, 7 Ag 2.94-3.02, 1 Cd 2.95
9 Ag 0.9730 0.4761 0.5780  6 Ag 2.88-2.99, 6 Ga 2.88-2.98
10 Ag 0.7525 0.2139 0.2811  5 Ga 2.85-2.92, 7 Ag 2.91-3.02
11 Ag 0.2122 0.6891 0.8864  4 Ga 2.86-3.15, 5 Ag 2.94-2.96, 3 Cd 2.95-2.99
12 Ag 0.2789 0.7895 0.6527  5 Ga 2.85-2.92, 7 Ag 2.91-3.02
13 Ag 0.8191 0.3143 0.0474  4 Ga 2.85-3.15, 5 Ag 2.94-2.96, 3 Cd 2.95-2.99